! Mn3Cu3Te8 PBE optimized geometry; values from VASP
! Energy   -66.8 eV for the cell shown
! Space-group type   R-3m, No. 166
! ΔE_f (raw)   -0.14 eV per atom
&SYSTEM
  ibrav = 0, nat = 14, ntyp = 3
/
ATOMIC_SPECIES
Te 127.60 Te.upf
Cu 63.55 Cu.upf
Mn 54.94 Mn.upf
ATOMIC_POSITIONS crystal
Te 0.243 0.775 0.243
Te 0.775 0.243 0.243
Te 0.757 0.757 0.225
Te 0.757 0.225 0.757
Te 0.243 0.243 0.775
Te 0.244 0.244 0.244
Te 0.225 0.757 0.757
Te 0.756 0.756 0.756
Cu 0.377 0.377 0.377
Cu 0.623 0.623 0.623
Cu 0.000 0.000 0.000
Mn 0.000 0.500 0.000
Mn 0.500 0.000 0.000
Mn 0.000 0.000 0.500
CELL_PARAMETERS angstrom
6.864 0.034 3.996
2.314 6.463 3.996
0.048 0.034 7.943